First-principles (PBE) data for a relaxed structure of Pm5Dy2Bi5, as listed in the Alexandria database.

```
Pm5Dy2Bi5
1.0
7.453 -2.259 0.000
7.453 2.259 0.000
-4.807 0.000 12.096
Pm Dy Bi
5 2 5
Cartesian
0.000 0.000 0.000
-0.149 0.000 6.460
-0.773 0.000 10.166
10.872 0.000 1.930
10.248 0.000 5.635
3.307 0.000 8.584
6.791 0.000 3.512
1.490 0.000 3.433
5.366 0.000 0.861
5.049 0.000 6.048
4.732 0.000 11.234
8.608 0.000 8.663
```

Computed properties:
Crystal system: monoclinic
Calculated formation energy: -0.663 eV/atom
V: 407 Å³/f.u.
Symmetry: C2/m (12)